[1]
DFT (PBE-GGA) results for a relaxed NaLi2SiS4 crystal.

## Properties
Final energy = -68.92 eV for the cell shown
Crystal system = tetragonal

a b c (Å): 6.5021 6.5021 7.7311
angles (deg): 90.00 90.00 90.00
Closest atoms and distances in Å follow each position.
Space group I-42m (No. 121)
Inequivalent atoms, fractional coordinates:
Na1 0.0000 0.0000 0.0000 (multiplicity 2)  8 S 3.08-3.20
Li1 0.0000 0.5000 0.2500 (multiplicity 4)  4 S 2.47
Si1 0.0000 0.0000 0.5000 (multiplicity 2)  4 S 2.13
S1 0.1917 0.1917 0.6545 (multiplicity 8)  1 Si 2.13



[2]
DFT (PBE-GGA) results for a relaxed NaLiSm2S4 crystal.

## Properties
Final energy = -174.29 eV for the cell shown
Crystal system = orthorhombic

a b c (Å): 8.0079 8.0793 11.3835
angles (deg): 90.00 90.00 90.00
Closest atoms and distances in Å follow each position.
Space group Imma (No. 74)
Inequivalent atoms, fractional coordinates:
Na1 0.2500 0.2500 0.2500 (multiplicity 4)  6 S 2.89-2.90
Li1 0.0000 0.0000 0.0000 (multiplicity 4)  6 S 2.86-2.87
Sm1 0.0000 0.0000 0.5000 (multiplicity 4)  6 S 2.82-2.83
Sm2 0.2500 0.2500 0.7500 (multiplicity 4)  6 S 2.79-2.80
S1 0.0000 0.0089 0.7476 (multiplicity 8)  3 Sm 2.79-2.82, 1 Li 2.87, 2 Na 2.90
S2 0.2467 0.2500 0.5040 (multiplicity 8)  3 Sm 2.80-2.83, 2 Li 2.86, 1 Na 2.89



[3]
DFT (PBE-GGA) results for a relaxed NaLiSn2S4 crystal.

## Properties
Final energy = -133.26 eV for the cell shown
Crystal system = orthorhombic

a b c (Å): 7.9639 10.1010 9.0763
angles (deg): 90.00 90.00 90.00
Closest atoms and distances in Å follow each position.
Space group Fmm2 (No. 42)
Inequivalent atoms, fractional coordinates:
Na1 0.0000 0.0000 0.0000 (multiplicity 4)  4 S 2.72-2.84
Li1 0.0000 0.0000 0.4544 (multiplicity 4)  4 S 2.44-2.46
Sn1 0.2500 0.2500 0.2154 (multiplicity 8)  4 S 2.58-2.61
S1 0.0000 0.2325 0.5358 (multiplicity 8)  1 Li 2.46, 2 Sn 2.58, 1 Na 2.72
S2 0.2391 0.0000 0.2861 (multiplicity 8)  1 Li 2.44, 2 Sn 2.61



[4]
DFT (PBE-GGA) results for a relaxed Na3LiSn3S8 crystal.

## Properties
Final energy = -184.10 eV for the cell shown
Crystal system = trigonal

a b c (Å): 7.5076 7.5076 20.4778
angles (deg): 90.00 90.00 120.00
Closest atoms and distances in Å follow each position.
Space group R-3m (No. 166, hexagonal axes)
Inequivalent atoms, fractional coordinates:
Na1 0.0000 0.5000 0.0000 (multiplicity 9)  6 S 2.85-2.97
Li1 0.0000 0.0000 0.5000 (multiplicity 3)  6 S 2.63
Sn1 0.0000 0.5000 0.5000 (multiplicity 9)  6 S 2.56-2.67
S1 0.0000 0.0000 0.2429 (multiplicity 6)  3 Sn 2.67, 3 Na 2.85
S2 0.0080 0.5040 0.7645 (multiplicity 18)  2 Sn 2.56, 1 Li 2.63



[5]
DFT (PBE-GGA) results for a relaxed NaLiSnS3 crystal.

## Properties
Final energy = -49.40 eV for the cell shown
Crystal system = monoclinic

a b c (Å): 7.2699 3.8215 9.8924
angles (deg): 90.00 104.55 90.00
Closest atoms and distances in Å follow each position.
Space group P2_1/m (No. 11)
Inequivalent atoms, fractional coordinates:
Na1 0.1358 0.2500 0.1816 (multiplicity 2)  5 S 2.78-3.06
Li1 0.1351 0.7500 0.5680 (multiplicity 2)  4 S 2.44-2.48
Sn1 0.3722 0.2500 0.8251 (multiplicity 2)  6 S 2.52-2.71
S1 0.0325 0.2500 0.6833 (multiplicity 2)  3 Li 2.44-2.48, 1 Sn 2.52
S2 0.2908 0.7500 0.9948 (multiplicity 2)  3 Sn 2.64-2.71
S3 0.4733 0.7500 0.6871 (multiplicity 2)  1 Li 2.44, 2 Sn 2.56



[6]
DFT (PBE-GGA) results for a relaxed NaSr2LiS crystal.

## Properties
Final energy = -14.22 eV for the cell shown
Crystal system = tetragonal

a b c (Å): 5.9999 5.9999 4.8644
angles (deg): 90.00 90.00 90.00
Closest atoms and distances in Å follow each position.
Space group P4/mmm (No. 123)
Inequivalent atoms, fractional coordinates:
Na1 0.0000 0.0000 0.0000 (multiplicity 1)  8 Sr 3.86, 4 Li 4.24
Sr1 0.0000 0.5000 0.5000 (multiplicity 2)  2 S 3.00
Li1 0.5000 0.5000 0.0000 (multiplicity 1)  2 S 2.43
S1 0.5000 0.5000 0.5000 (multiplicity 1)  2 Li 2.43



[7]
DFT (PBE-GGA) results for a relaxed Na2LiTaS4 crystal.

## Properties
Final energy = -41.66 eV for the cell shown
Crystal system = monoclinic

a b c (Å): 6.5028 3.6293 6.8545
angles (deg): 90.00 106.18 90.00
Closest atoms and distances in Å follow each position.
Space group P2/m (No. 10)
Inequivalent atoms, fractional coordinates:
Na1 0.0000 0.0000 0.0000 (multiplicity 1)  6 S 2.91-2.93
Na2 0.5000 0.5000 0.0000 (multiplicity 1)  6 S 2.78-2.81
Li1 0.0000 0.5000 0.5000 (multiplicity 1)  6 S 2.59-2.62
Ta1 0.5000 0.0000 0.5000 (multiplicity 1)  6 S 2.42-2.51
S1 0.2591 0.0000 0.7125 (multiplicity 2)  1 Ta 2.42, 2 Li 2.62
S2 0.2759 0.5000 0.2906 (multiplicity 2)  2 Ta 2.51, 1 Li 2.59, 1 Na 2.78



[8]
DFT (PBE-GGA) results for a relaxed Na2LiTa2S6 crystal.

## Properties
Final energy = -130.20 eV for the cell shown
Crystal system = monoclinic

a b c (Å): 6.2665 10.8140 7.0010
angles (deg): 90.00 104.68 90.00
Closest atoms and distances in Å follow each position.
Space group C2/m (No. 12)
Inequivalent atoms, fractional coordinates:
Na1 0.0000 0.1700 0.0000 (multiplicity 4)  6 S 2.85-2.92
Li1 0.0000 0.0000 0.5000 (multiplicity 2)  6 S 2.59-2.71
Ta1 0.0000 0.3488 0.5000 (multiplicity 4)  6 S 2.43-2.56
S1 0.2100 0.5000 0.7292 (multiplicity 4)  2 Ta 2.43, 1 Li 2.71
S2 0.2346 0.1761 0.7008 (multiplicity 8)  2 Ta 2.45-2.56, 1 Li 2.59



[9]
DFT (PBE-GGA) results for a relaxed Na2Li3TaS6 crystal.

## Properties
Final energy = -114.04 eV for the cell shown
Crystal system = monoclinic

a b c (Å): 7.1776 11.7559 6.1933
angles (deg): 90.00 117.06 90.00
Closest atoms and distances in Å follow each position.
Space group C2/m (No. 12)
Inequivalent atoms, fractional coordinates:
Na1 0.0000 0.1717 0.0000 (multiplicity 4)  4 S 2.76-2.80
Li1 0.0000 0.0000 0.5000 (multiplicity 2)  4 S 2.47
Li2 0.0000 0.2966 0.5000 (multiplicity 4)  4 S 2.53-2.62
Ta1 0.0000 0.5000 0.0000 (multiplicity 2)  6 S 2.43-2.58
S1 0.1309 0.5000 0.6750 (multiplicity 4)  1 S 2.13
S2 0.2494 0.1449 0.7642 (multiplicity 8)  1 Ta 2.43, 2 Li 2.47-2.53



[10]
DFT (PBE-GGA) results for a relaxed NaLiTb2S4 crystal.

## Properties
Final energy = -174.69 eV for the cell shown
Crystal system = orthorhombic

a b c (Å): 7.8942 7.9691 11.2244
angles (deg): 90.00 90.00 90.00
Closest atoms and distances in Å follow each position.
Space group Imma (No. 74)
Inequivalent atoms, fractional coordinates:
Na1 0.2500 0.2500 0.2500 (multiplicity 4)  6 S 2.86-2.87
Li1 0.0000 0.0000 0.0000 (multiplicity 4)  6 S 2.83-2.84
Tb1 0.0000 0.0000 0.5000 (multiplicity 4)  6 S 2.77-2.78
Tb2 0.2500 0.2500 0.7500 (multiplicity 4)  6 S 2.74-2.75
S1 0.0000 0.0108 0.7468 (multiplicity 8)  3 Tb 2.74-2.77, 1 Li 2.84, 2 Na 2.87
S2 0.2451 0.2500 0.5050 (multiplicity 8)  3 Tb 2.75-2.78, 2 Li 2.83, 1 Na 2.86



[11]
DFT (PBE-GGA) results for a relaxed NaLiTcS2 crystal.

## Properties
Final energy = -18.51 eV for the cell shown
Crystal system = tetragonal

a b c (Å): 4.9060 4.9060 3.9328
angles (deg): 90.00 90.00 90.00
Closest atoms and distances in Å follow each position.
Space group P4/mmm (No. 123)
Inequivalent atoms, fractional coordinates:
Na1 0.0000 0.0000 0.0000 (multiplicity 1)  2 Li 1.97
Li1 0.0000 0.0000 0.5000 (multiplicity 1)  2 Na 1.97
Tc1 0.5000 0.5000 0.5000 (multiplicity 1)  8 S 3.14, 4 Li 3.47
S1 0.0000 0.5000 0.0000 (multiplicity 2)  2 Na 2.45



[12]
DFT (PBE-GGA) results for a relaxed Na4LiTe3S8 crystal.

## Properties
Final energy = -116.55 eV for the cell shown
Crystal system = monoclinic

a b c (Å): 14.2102 7.6983 8.0349
angles (deg): 90.00 124.22 90.00
Closest atoms and distances in Å follow each position.
Space group C2/m (No. 12)
Inequivalent atoms, fractional coordinates:
Na1 0.0000 0.0000 0.0000 (multiplicity 2)  6 S 2.75-2.94
Na2 0.0000 0.5000 0.0000 (multiplicity 2)  6 S 2.91-2.95
Na3 0.2500 0.2500 0.5000 (multiplicity 4)  6 S 2.88-3.17
Li1 0.0000 0.0000 0.5000 (multiplicity 2)  6 S 2.68-2.93
Te1 0.0000 0.5000 0.5000 (multiplicity 2)  4 S 2.65
Te2 0.2500 0.2500 0.0000 (multiplicity 4)  6 S 2.67-2.72
S1 0.0194 0.2533 0.7468 (multiplicity 8)  2 Te 2.65-2.72, 1 Li 2.68, 2 Na 2.91-2.94
S2 0.2339 0.0000 0.2129 (multiplicity 4)  2 Te 2.67, 3 Na 2.75-2.91
S3 0.2494 0.0000 0.7653 (multiplicity 4)  2 Te 2.69, 3 Na 2.88-2.95, 1 Li 2.93